1.
VASP calculation (PBE) on a relaxed structure of Ag5SnO4.

Calculated values
The calculated volume is 15.47 Å³ per atom. Its crystal system is monoclinic. As for the formation energy from raw total energies: -452 meV per atom.

abc: 6.647 6.647 8.381
angles: 117.78 117.78 28.45
Sites, in units of the cell vectors:
Ag (0.000, 0.000, 0.000)
Ag (0.313, 0.313, 0.686)
Ag (0.359, 0.359, 0.089)
Ag (0.641, 0.641, 0.911)
Ag (0.687, 0.687, 0.314)
Sn (0.000, 0.000, 0.500)
O (0.166, 0.166, 0.731)
O (0.453, 0.453, 0.617)
O (0.547, 0.547, 0.383)
O (0.834, 0.834, 0.269)

---

2.
VASP calculation (PBE) on a relaxed structure of Ag3Sn5O12.

Calculated values
The calculated volume is 14.60 Å³ per atom. Its crystal system is cubic. As for the formation energy from raw total energies: -1056 meV per atom.

abc: 11.490 11.490 11.490
angles: 109.47 109.47 109.47
Sites, in units of the cell vectors:
Ag (0.125, 0.250, 0.375)
Ag (0.125, 0.375, 0.750)
Ag (0.250, 0.375, 0.125)
Ag (0.250, 0.875, 0.625)
Ag (0.375, 0.125, 0.250)
Ag (0.375, 0.750, 0.125)
Ag (0.625, 0.250, 0.875)
Ag (0.625, 0.875, 0.750)
Ag (0.750, 0.125, 0.375)
Ag (0.750, 0.625, 0.875)
Ag (0.875, 0.625, 0.250)
Ag (0.875, 0.750, 0.625)
Sn (0.000, 0.000, 0.000)
Sn (0.000, 0.000, 0.500)
Sn (0.000, 0.500, 0.000)
Sn (0.000, 0.500, 0.500)
Sn (0.125, 0.750, 0.875)
Sn (0.125, 0.875, 0.250)
Sn (0.250, 0.125, 0.875)
Sn (0.250, 0.625, 0.375)
Sn (0.375, 0.250, 0.625)
Sn (0.375, 0.625, 0.750)
Sn (0.500, 0.000, 0.000)
Sn (0.500, 0.000, 0.500)
Sn (0.500, 0.500, 0.000)
Sn (0.500, 0.500, 0.500)
Sn (0.625, 0.375, 0.250)
Sn (0.625, 0.750, 0.375)
Sn (0.750, 0.375, 0.625)
Sn (0.750, 0.875, 0.125)
Sn (0.875, 0.125, 0.750)
Sn (0.875, 0.250, 0.125)
O (0.020, 0.195, 0.120)
O (0.020, 0.325, 0.900)
O (0.075, 0.695, 0.675)
O (0.075, 0.880, 0.400)
O (0.100, 0.620, 0.425)
O (0.100, 0.980, 0.675)
O (0.120, 0.020, 0.195)
O (0.120, 0.600, 0.925)
O (0.175, 0.195, 0.575)
O (0.175, 0.480, 0.600)
O (0.195, 0.120, 0.020)
O (0.195, 0.575, 0.175)
O (0.305, 0.325, 0.925)
O (0.305, 0.480, 0.380)
O (0.325, 0.900, 0.020)
O (0.325, 0.925, 0.305)
O (0.380, 0.305, 0.480)
O (0.380, 0.575, 0.900)
O (0.400, 0.075, 0.880)
O (0.400, 0.825, 0.520)
O (0.425, 0.100, 0.620)
O (0.425, 0.825, 0.805)
O (0.480, 0.380, 0.305)
O (0.480, 0.600, 0.175)
O (0.520, 0.400, 0.825)
O (0.520, 0.620, 0.695)
O (0.575, 0.175, 0.195)
O (0.575, 0.900, 0.380)
O (0.600, 0.175, 0.480)
O (0.600, 0.925, 0.120)
O (0.620, 0.425, 0.100)
O (0.620, 0.695, 0.520)
O (0.675, 0.075, 0.695)
O (0.675, 0.100, 0.980)
O (0.695, 0.520, 0.620)
O (0.695, 0.675, 0.075)
O (0.805, 0.425, 0.825)
O (0.805, 0.880, 0.980)
O (0.825, 0.520, 0.400)
O (0.825, 0.805, 0.425)
O (0.880, 0.400, 0.075)
O (0.880, 0.980, 0.805)
O (0.900, 0.020, 0.325)
O (0.900, 0.380, 0.575)
O (0.925, 0.120, 0.600)
O (0.925, 0.305, 0.325)
O (0.980, 0.675, 0.100)
O (0.980, 0.805, 0.880)

---

3.
VASP calculation (PBE) on a relaxed structure of Ag2Sn3O8.

Calculated values
The calculated volume is 14.45 Å³ per atom. Its crystal system is monoclinic. As for the formation energy from raw total energies: -1024 meV per atom.

abc: 6.334 6.334 5.556
angles: 102.26 102.26 60.38
Sites, in units of the cell vectors:
Ag (0.218, 0.218, 0.077)
Ag (0.782, 0.782, 0.923)
Sn (0.240, 0.760, 0.500)
Sn (0.500, 0.500, 0.000)
Sn (0.760, 0.240, 0.500)
O (0.101, 0.101, 0.395)
O (0.162, 0.604, 0.124)
O (0.396, 0.838, 0.876)
O (0.406, 0.406, 0.626)
O (0.594, 0.594, 0.374)
O (0.604, 0.162, 0.124)
O (0.838, 0.396, 0.876)
O (0.899, 0.899, 0.605)

---

4.
VASP calculation (PBE) on a relaxed structure of AgSnO.

Calculated values
The calculated volume is 20.95 Å³ per atom. Its crystal system is monoclinic. As for the formation energy from raw total energies: -454 meV per atom.

abc: 5.486 7.100 6.471
angles: 90.00 94.15 90.00
Sites, in units of the cell vectors:
Ag (0.101, 0.109, 0.333)
Ag (0.101, 0.391, 0.833)
Ag (0.899, 0.609, 0.167)
Ag (0.899, 0.891, 0.667)
Sn (0.497, 0.702, 0.520)
Sn (0.497, 0.798, 0.020)
Sn (0.503, 0.202, 0.980)
Sn (0.503, 0.298, 0.480)
O (0.257, 0.728, 0.763)
O (0.257, 0.772, 0.263)
O (0.743, 0.228, 0.737)
O (0.743, 0.272, 0.237)

---

5.
VASP calculation (PBE) on a relaxed structure of Sr2AgSnO5.

Calculated values
The calculated volume is 14.87 Å³ per atom. Its crystal system is orthorhombic. As for the formation energy from raw total energies: -1744 meV per atom.

abc: 7.795 7.795 10.551
angles: 90.00 90.00 155.32
Sites, in units of the cell vectors:
Sr (0.110, 0.890, 0.500)
Sr (0.128, 0.872, 0.112)
Sr (0.872, 0.128, 0.612)
Sr (0.890, 0.110, 0.000)
Ag (0.464, 0.536, 0.270)
Ag (0.536, 0.464, 0.770)
Sn (0.222, 0.778, 0.825)
Sn (0.778, 0.222, 0.325)
O (0.086, 0.914, 0.873)
O (0.275, 0.725, 0.460)
O (0.295, 0.705, 0.195)
O (0.356, 0.644, 0.813)
O (0.497, 0.503, 0.580)
O (0.503, 0.497, 0.080)
O (0.644, 0.356, 0.313)
O (0.705, 0.295, 0.695)
O (0.725, 0.275, 0.960)
O (0.914, 0.086, 0.373)

---

6.
VASP calculation (PBE) on a relaxed structure of Sr4AgSn3O12.

Calculated values
The calculated volume is 13.95 Å³ per atom. Its crystal system is cubic. As for the formation energy from raw total energies: -1830 meV per atom.

abc: 7.130 7.130 7.130
angles: 109.47 109.47 109.47
Sites, in units of the cell vectors:
Sr (0.000, 0.000, 0.500)
Sr (0.000, 0.500, 0.000)
Sr (0.500, 0.000, 0.000)
Sr (0.500, 0.500, 0.500)
Ag (0.000, 0.000, 0.000)
Sn (0.000, 0.500, 0.500)
Sn (0.500, 0.000, 0.500)
Sn (0.500, 0.500, 0.000)
O (0.000, 0.253, 0.253)
O (0.000, 0.747, 0.747)
O (0.250, 0.500, 0.750)
O (0.250, 0.750, 0.500)
O (0.253, 0.000, 0.253)
O (0.253, 0.253, 0.000)
O (0.500, 0.250, 0.750)
O (0.500, 0.750, 0.250)
O (0.747, 0.000, 0.747)
O (0.747, 0.747, 0.000)
O (0.750, 0.250, 0.500)
O (0.750, 0.500, 0.250)

---

7.
VASP calculation (PBE) on a relaxed structure of TcAgSnO6.

Calculated values
The calculated volume is 13.46 Å³ per atom. Its crystal system is trigonal. As for the formation energy from raw total energies: -1034 meV per atom.

abc: 5.371 5.371 9.700
angles: 90.00 90.00 120.00
Sites, in units of the cell vectors:
Tc (0.333, 0.667, 0.250)
Tc (0.667, 0.333, 0.750)
Ag (0.000, 0.000, 0.000)
Ag (0.000, 0.000, 0.500)
Sn (0.333, 0.667, 0.750)
Sn (0.667, 0.333, 0.250)
O (0.024, 0.390, 0.138)
O (0.024, 0.634, 0.362)
O (0.366, 0.390, 0.362)
O (0.366, 0.976, 0.138)
O (0.390, 0.024, 0.638)
O (0.390, 0.366, 0.862)
O (0.610, 0.634, 0.138)
O (0.610, 0.976, 0.362)
O (0.634, 0.024, 0.862)
O (0.634, 0.610, 0.638)
O (0.976, 0.366, 0.638)
O (0.976, 0.610, 0.862)

---

8.
VASP calculation (PBE) on a relaxed structure of AgSnTeO6.

Calculated values
The calculated volume is 13.43 Å³ per atom. Its crystal system is trigonal. As for the formation energy from raw total energies: -916 meV per atom.

abc: 5.383 5.383 9.631
angles: 90.00 90.00 120.00
Sites, in units of the cell vectors:
Ag (0.000, 0.000, 0.000)
Ag (0.000, 0.000, 0.500)
Sn (0.333, 0.667, 0.250)
Sn (0.667, 0.333, 0.750)
Te (0.333, 0.667, 0.750)
Te (0.667, 0.333, 0.250)
O (0.018, 0.374, 0.637)
O (0.018, 0.644, 0.863)
O (0.356, 0.374, 0.863)
O (0.356, 0.982, 0.637)
O (0.374, 0.018, 0.137)
O (0.374, 0.356, 0.363)
O (0.626, 0.644, 0.637)
O (0.626, 0.982, 0.863)
O (0.644, 0.018, 0.363)
O (0.644, 0.626, 0.137)
O (0.982, 0.356, 0.137)
O (0.982, 0.626, 0.363)

---

9.
VASP calculation (PBE) on a relaxed structure of Ag2SnTeO6.

Calculated values
The calculated volume is 12.61 Å³ per atom. Its crystal system is monoclinic. As for the formation energy from raw total energies: -792 meV per atom.

abc: 5.613 5.613 5.614
angles: 119.97 119.97 61.03
Sites, in units of the cell vectors:
Ag (0.250, 0.250, 0.239)
Ag (0.750, 0.750, 0.761)
Sn (0.500, 0.500, 0.000)
Te (0.000, 0.000, 0.500)
O (0.187, 0.701, 0.205)
O (0.241, 0.241, 0.637)
O (0.299, 0.813, 0.795)
O (0.701, 0.187, 0.205)
O (0.759, 0.759, 0.363)
O (0.813, 0.299, 0.795)

---

10.
VASP calculation (PBE) on a relaxed structure of ThAgSnO.

Calculated values
The calculated volume is 21.18 Å³ per atom. Its crystal system is tetragonal. As for the formation energy from raw total energies: -1543 meV per atom.

abc: 4.078 4.078 10.186
angles: 90.00 90.00 90.00
Sites, in units of the cell vectors:
Th (0.250, 0.250, 0.127)
Th (0.750, 0.750, 0.873)
Ag (0.250, 0.750, 0.500)
Ag (0.750, 0.250, 0.500)
Sn (0.250, 0.250, 0.698)
Sn (0.750, 0.750, 0.302)
O (0.250, 0.750, 0.000)
O (0.750, 0.250, 0.000)

---

11.
VASP calculation (PBE) on a relaxed structure of Tl2AgSnO.

Calculated values
The calculated volume is 24.21 Å³ per atom. Its crystal system is tetragonal. As for the formation energy from raw total energies: -51 meV per atom.

abc: 5.393 5.393 4.162
angles: 90.00 90.00 90.00
Sites, in units of the cell vectors:
Tl (0.000, 0.500, 0.000)
Tl (0.500, 0.000, 0.000)
Ag (0.000, 0.000, 0.500)
Sn (0.500, 0.500, 0.500)
O (0.000, 0.000, 0.000)